## Tl4SnBi2 (PBE)

Data for a relaxed Tl4SnBi2 crystal.

Cell and atoms, written as POSCAR:
```
Tl4SnBi2
1.0
5.1323 0.0000 0.0000
0.0000 3.4496 0.0000
-2.4333 0.0000 12.4028
Tl Sn Bi
4 1 2
Direct
0.0687 0.0000 0.1361 Tl
0.3559 0.5000 0.7159 Tl
0.6441 0.5000 0.2841 Tl
0.9313 0.0000 0.8639 Tl
0.5000 0.5000 0.0000 Sn
0.2112 0.0000 0.4208 Bi
0.7888 0.0000 0.5792 Bi
```

Properties
Calculated formation energy, eV per atom: 0.016
SG: P2/m
Volume, Å³/cell: 219.6